(1)
## Sb3AsPd (GGA-PBEsol)

Data for an optimized crystal structure of Sb3AsPd.

Geometry as extended XYZ:
```
5
Lattice="5.113 0.000 0.000 0.000 5.113 0.000 0.000 0.000 5.113" Properties=species:S:1:pos:R:3 pbc="T T T"
Sb 0.000 0.000 2.556
Sb 0.000 2.556 0.000
Sb 2.556 0.000 0.000
As 2.556 2.556 2.556
Pd 0.000 0.000 0.000
```

## Properties
ΔE_f (raw) in eV per atom: 0.510
Space-group type: Pm-3m, No. 221

---

(2)
## ScAsPdSe2 (GGA-PBEsol)

Data for an optimized crystal structure of ScAsPdSe2.

Geometry as extended XYZ:
```
5
Lattice="4.951 0.000 0.000 0.000 4.951 0.000 0.000 0.000 5.027" Properties=species:S:1:pos:R:3 pbc="T T T"
Sc 0.000 0.000 0.000
As 0.000 0.000 2.514
Pd 2.476 2.476 2.514
Se 0.000 2.476 0.000
Se 2.476 0.000 0.000
```

## Properties
ΔE_f (raw) in eV per atom: 0.218
Space-group type: P4/mmm, No. 123

---

(3)
## TaAs2PdSe (GGA-PBEsol)

Data for an optimized crystal structure of TaAs2PdSe.

Geometry as extended XYZ:
```
5
Lattice="4.922 0.000 0.000 0.000 4.922 0.000 0.000 0.000 4.847" Properties=species:S:1:pos:R:3 pbc="T T T"
Ta 0.000 0.000 0.000
As 0.000 2.461 0.000
As 2.461 0.000 0.000
Pd 2.461 2.461 2.423
Se 0.000 0.000 2.423
```

## Properties
ΔE_f (raw) in eV per atom: 0.523
Space-group type: P4/mmm, No. 123

---

(4)
## TcAsPdSe2 (GGA-PBEsol)

Data for an optimized crystal structure of TcAsPdSe2.

Geometry as extended XYZ:
```
5
Lattice="4.774 0.000 0.000 0.000 4.774 0.000 0.000 0.000 4.691" Properties=species:S:1:pos:R:3 pbc="T T T"
Tc 0.000 0.000 0.000
As 0.000 0.000 2.346
Pd 2.387 2.387 2.346
Se 0.000 2.387 0.000
Se 2.387 0.000 0.000
```

## Properties
ΔE_f (raw) in eV per atom: 0.672
Space-group type: P4/mmm, No. 123

---

(5)
## Te2AsPdSe (GGA-PBEsol)

Data for an optimized crystal structure of Te2AsPdSe.

Geometry as extended XYZ:
```
5
Lattice="5.227 0.000 0.000 0.000 5.227 0.000 0.000 0.000 4.692" Properties=species:S:1:pos:R:3 pbc="T T T"
Te 0.000 2.613 0.000
Te 2.613 0.000 0.000
As 0.000 0.000 2.346
Pd 2.613 2.613 0.000
Se 2.613 2.613 2.346
```

## Properties
ΔE_f (raw) in eV per atom: 0.485
Space-group type: P4/mmm, No. 123

---

(6)
## TiAs2PdSe (GGA-PBEsol)

Data for an optimized crystal structure of TiAs2PdSe.

Geometry as extended XYZ:
```
5
Lattice="4.778 0.000 0.000 0.000 4.778 0.000 0.000 0.000 4.739" Properties=species:S:1:pos:R:3 pbc="T T T"
Ti 0.000 0.000 0.000
As 0.000 2.389 0.000
As 2.389 0.000 0.000
Pd 2.389 2.389 2.369
Se 0.000 0.000 2.369
```

## Properties
ΔE_f (raw) in eV per atom: 0.267
Space-group type: P4/mmm, No. 123

---

(7)
## TiAsPdSe2 (GGA-PBEsol)

Data for an optimized crystal structure of TiAsPdSe2.

Geometry as extended XYZ:
```
5
Lattice="4.775 0.000 0.000 0.000 4.775 0.000 0.000 0.000 4.810" Properties=species:S:1:pos:R:3 pbc="T T T"
Ti 0.000 0.000 0.000
As 0.000 0.000 2.405
Pd 2.388 2.388 2.405
Se 0.000 2.388 0.000
Se 2.388 0.000 0.000
```

## Properties
ΔE_f (raw) in eV per atom: 0.157
Space-group type: P4/mmm, No. 123

---

(8)
## SmAsPd (GGA-PBEsol)

Data for an optimized crystal structure of SmAsPd.

Geometry as extended XYZ:
```
6
Lattice="4.312 0.000 0.000 -2.156 3.734 0.000 0.000 0.000 7.492" Properties=species:S:1:pos:R:3 pbc="T T T"
Sm 0.000 0.000 0.000
Sm 0.000 0.000 3.746
As 0.000 2.490 1.724
As 2.156 1.245 5.470
Pd 0.000 2.490 5.785
Pd 2.156 1.245 2.039
```

## Properties
Raw total energy in eV per atom: -6.59
Space-group type: P6_3mc, No. 186

---

(9)
## SnAs2Pd2 (GGA-PBEsol)

Data for an optimized crystal structure of SnAs2Pd2.

Geometry as extended XYZ:
```
5
Lattice="-1.980 1.980 5.967 1.980 -1.980 5.967 1.980 1.980 -5.967" Properties=species:S:1:pos:R:3 pbc="T T T"
Sn 0.000 0.000 0.000
As 1.980 0.000 2.984
As 0.000 1.980 2.984
Pd 0.000 0.000 4.629
Pd 0.000 0.000 7.306
```

## Properties
Raw total energy in eV per atom: -5.43
Space-group type: I4/mmm, No. 139

---

(10)
## SnAsPd6 (GGA-PBEsol)

Data for an optimized crystal structure of SnAsPd6.

Geometry as extended XYZ:
```
8
Lattice="2.217 1.280 7.153 -2.217 1.280 7.153 0.000 -2.560 7.153" Properties=species:S:1:pos:R:3 pbc="T T T"
Sn 0.000 0.000 0.000
As 0.000 0.000 10.729
Pd 0.000 0.000 2.815
Pd 0.000 0.000 5.510
Pd 0.000 0.000 8.239
Pd 0.000 0.000 13.219
Pd 0.000 0.000 15.948
Pd 0.000 0.000 18.643
```

## Properties
Raw total energy in eV per atom: -6.00
Space-group type: R-3m, No. 166

---

(11)
## ZnSnAsPd2 (GGA-PBEsol)

Data for an optimized crystal structure of ZnSnAsPd2.

Geometry as extended XYZ:
```
5
Lattice="4.684 0.000 0.000 0.000 4.684 0.000 0.000 0.000 4.516" Properties=species:S:1:pos:R:3 pbc="T T T"
Zn 0.000 0.000 0.000
Sn 2.342 2.342 2.258
As 0.000 0.000 2.258
Pd 0.000 2.342 0.000
Pd 2.342 0.000 0.000
```

## Properties
Raw total energy in eV per atom: -4.28
Space-group type: P4/mmm, No. 123

---

(12)
## SrAsPd2 (GGA-PBEsol)

Data for an optimized crystal structure of SrAsPd2.

Geometry as extended XYZ:
```
8
Lattice="-2.496 2.496 8.133 2.496 -2.496 8.133 2.496 2.496 -8.133" Properties=species:S:1:pos:R:3 pbc="T T T"
Sr 0.000 0.000 0.000
Sr 0.000 2.496 4.066
As 2.496 0.000 4.066
As 0.000 0.000 8.133
Pd 1.248 -0.210 6.100
Pd 2.286 1.248 2.033
Pd 1.248 2.706 -2.033
Pd 0.210 1.248 10.166
```

## Properties
Raw total energy in eV per atom: -5.28
Space-group type: I-42d, No. 122

---

(13)
## SrAs2Pd2 (GGA-PBEsol)

Data for an optimized crystal structure of SrAs2Pd2.

Geometry as extended XYZ:
```
5
Lattice="-2.319 2.319 4.699 2.319 -2.319 4.699 2.319 2.319 -4.699" Properties=species:S:1:pos:R:3 pbc="T T T"
Sr 0.000 0.000 0.000
As 2.319 0.000 2.349
As 0.000 2.319 2.349
Pd 0.000 0.000 3.327
Pd 0.000 0.000 6.071
```

## Properties
Raw total energy in eV per atom: -5.49
Space-group type: I4/mmm, No. 139

---

(14)
## ZrTe2AsPd (GGA-PBEsol)

Data for an optimized crystal structure of ZrTe2AsPd.

Geometry as extended XYZ:
```
5
Lattice="5.217 0.000 0.000 0.000 5.217 0.000 0.000 0.000 4.624" Properties=species:S:1:pos:R:3 pbc="T T T"
Zr 0.000 0.000 0.000
Te 0.000 2.609 2.312
Te 2.609 0.000 2.312
As 2.609 2.609 0.000
Pd 2.609 2.609 2.312
```

## Properties
ΔE_f (raw) in eV per atom: 0.283
Space-group type: P4/mmm, No. 123

---

(15)
## TiAs3Pd (GGA-PBEsol)

Data for an optimized crystal structure of TiAs3Pd.

Geometry as extended XYZ:
```
5
Lattice="4.741 0.000 0.000 0.000 4.741 0.000 0.000 0.000 4.741" Properties=species:S:1:pos:R:3 pbc="T T T"
Ti 0.000 0.000 0.000
As 0.000 0.000 2.371
As 0.000 2.371 0.000
As 2.371 0.000 0.000
Pd 2.371 2.371 2.371
```

## Properties
Raw total energy in eV per atom: -5.58
Space-group type: Pm-3m, No. 221

---

(16)
## TlAs2Pd (GGA-PBEsol)

Data for an optimized crystal structure of TlAs2Pd.

Geometry as extended XYZ:
```
4
Lattice="0.000 3.361 3.361 3.361 0.000 3.361 3.361 3.361 0.000" Properties=species:S:1:pos:R:3 pbc="T T T"
Tl 0.000 0.000 0.000
As 1.680 1.680 1.680
As 5.041 5.041 5.041
Pd 3.361 3.361 3.361
```

## Properties
Raw total energy in eV per atom: -4.44
Space-group type: Fm-3m, No. 225

---

(17)
## TlAsPd5 (GGA-PBEsol)

Data for an optimized crystal structure of TlAsPd5.

Geometry as extended XYZ:
```
7
Lattice="4.000 0.000 0.000 0.000 4.000 0.000 0.000 0.000 7.030" Properties=species:S:1:pos:R:3 pbc="T T T"
Tl 0.000 0.000 0.000
As 2.000 2.000 3.515
Pd 0.000 2.000 2.054
Pd 0.000 2.000 4.976
Pd 2.000 0.000 2.054
Pd 2.000 0.000 4.976
Pd 2.000 2.000 0.000
```

## Properties
Raw total energy in eV per atom: -5.73
Space-group type: P4/mmm, No. 123

---

(18)
## Tl3AsPd (GGA-PBEsol)

Data for an optimized crystal structure of Tl3AsPd.

Geometry as extended XYZ:
```
5
Lattice="5.354 0.000 0.000 0.000 5.354 0.000 0.000 0.000 5.354" Properties=species:S:1:pos:R:3 pbc="T T T"
Tl 0.000 0.000 2.677
Tl 0.000 2.677 0.000
Tl 2.677 0.000 0.000
As 0.000 0.000 0.000
Pd 2.677 2.677 2.677
```

## Properties
Raw total energy in eV per atom: -3.07
Space-group type: Pm-3m, No. 221

---

(19)
## TlAsPd6 (GGA-PBEsol)

Data for an optimized crystal structure of TlAsPd6.

Geometry as extended XYZ:
```
8
Lattice="2.228 1.286 7.177 -2.228 1.286 7.177 0.000 -2.572 7.177" Properties=species:S:1:pos:R:3 pbc="T T T"
Tl 0.000 0.000 0.000
As 0.000 0.000 10.765
Pd 0.000 0.000 2.862
Pd 0.000 0.000 5.555
Pd 0.000 0.000 8.327
Pd 0.000 0.000 13.203
Pd 0.000 0.000 15.975
Pd 0.000 0.000 18.668
```

## Properties
Raw total energy in eV per atom: -5.67
Space-group type: R-3m, No. 166

---

(20)
## As2PdW2 (GGA-PBEsol)

Data for an optimized crystal structure of As2PdW2.

Geometry as extended XYZ:
```
5
Lattice="-2.075 2.075 4.995 2.075 -2.075 4.995 2.075 2.075 -4.995" Properties=species:S:1:pos:R:3 pbc="T T T"
As 0.000 0.000 1.151
As 0.000 0.000 8.839
Pd 0.000 0.000 4.995
W 2.075 0.000 2.498
W 0.000 2.075 2.498
```

## Properties
Raw total energy in eV per atom: -8.37
Space-group type: I4/mmm, No. 139